Entry 1:
Zr3Ni4: optimized geometry, PBE.

The structure in CIF format:
```
data_Zr3Ni4
_chemical_formula_sum 'Zr3 Ni4'
_space_group_name_H-M_alt 'P 1'
_space_group_IT_number 1
_space_group_name_Hall 'P 1'
_cell_length_a 5.683
_cell_length_b 5.683
_cell_length_c 4.352
_cell_angle_alpha 90.00
_cell_angle_beta 90.00
_cell_angle_gamma 120.00
loop_
_atom_site_label
_atom_site_fract_x
_atom_site_fract_y
_atom_site_fract_z
_atom_site_occupancy
Ni1 0.667 0.333 0.500 1
Ni2 0.000 0.000 0.255 1
Ni3 0.000 0.000 0.745 1
Ni4 0.333 0.667 0.500 1
Zr1 0.000 0.500 0.000 1
Zr2 0.500 0.500 0.000 1
Zr3 0.500 0.000 0.000 1
```

E_tot: -6.69 eV/atom
DOS(E_F): 1.359 states/eV per atom
formation enthalpy at 0 K: 2.0 eV/f.u.
ΔE to the lowest computed polymorph: 709 meV/atom



Entry 2:
ZrNi2: optimized geometry, PBE.

The structure in CIF format:
```
data_ZrNi2
_chemical_formula_sum 'Zr1 Ni2'
_space_group_name_H-M_alt 'P 1'
_space_group_IT_number 1
_space_group_name_Hall 'P 1'
_cell_length_a 3.486
_cell_length_b 3.486
_cell_length_c 4.003
_cell_angle_alpha 90.00
_cell_angle_beta 90.00
_cell_angle_gamma 90.00
loop_
_atom_site_label
_atom_site_fract_x
_atom_site_fract_y
_atom_site_fract_z
_atom_site_occupancy
Ni1 0.000 0.500 0.500 1
Ni2 0.500 0.000 0.500 1
Zr1 0.000 0.000 0.000 1
```

E_tot: -6.71 eV/atom
DOS(E_F): 0.675 states/eV per atom
formation enthalpy at 0 K: 0.0 eV/f.u.



Entry 3:
Zr4Ni: optimized geometry, PBE.

The structure in CIF format:
```
data_Zr4Ni
_chemical_formula_sum 'Zr4 Ni1'
_space_group_name_H-M_alt 'P 1'
_space_group_IT_number 1
_space_group_name_Hall 'P 1'
_cell_length_a 3.274
_cell_length_b 5.833
_cell_length_c 5.833
_cell_angle_alpha 94.52
_cell_angle_beta 106.30
_cell_angle_gamma 73.70
loop_
_atom_site_label
_atom_site_fract_x
_atom_site_fract_y
_atom_site_fract_z
_atom_site_occupancy
Zr1 0.776 0.805 0.358 1
Zr2 0.419 0.358 0.195 1
Zr3 0.224 0.195 0.642 1
Zr4 0.581 0.642 0.805 1
Ni1 0.000 0.000 0.000 1
```

E_tot: -8.11 eV/atom
DOS(E_F): 1.392 states/eV per atom
formation enthalpy at 0 K: -0.6 eV/f.u.
ΔE to the lowest computed polymorph: 28 meV/atom



Entry 4:
Zr2Ni7: optimized geometry, PBE.

The structure in CIF format:
```
data_Zr2Ni7
_chemical_formula_sum 'Zr4 Ni14'
_space_group_name_H-M_alt 'P 1'
_space_group_IT_number 1
_space_group_name_Hall 'P 1'
_cell_length_a 4.744
_cell_length_b 4.744
_cell_length_c 12.165
_cell_angle_alpha 87.10
_cell_angle_beta 87.10
_cell_angle_gamma 120.53
loop_
_atom_site_label
_atom_site_fract_x
_atom_site_fract_y
_atom_site_fract_z
_atom_site_occupancy
Ni1 0.248 0.748 0.250 1
Ni2 0.131 0.463 0.578 1
Ni3 0.040 0.372 0.922 1
Ni4 0.372 0.040 0.922 1
Ni5 0.748 0.248 0.250 1
Ni6 0.252 0.252 0.750 1
Ni7 0.252 0.752 0.750 1
Ni8 0.748 0.748 0.250 1
Ni9 0.537 0.869 0.422 1
Ni10 0.960 0.628 0.078 1
Ni11 0.628 0.960 0.078 1
Ni12 0.752 0.252 0.750 1
Ni13 0.463 0.131 0.578 1
Ni14 0.869 0.537 0.422 1
Zr1 0.220 0.220 0.386 1
Zr2 0.723 0.723 0.886 1
Zr3 0.277 0.277 0.114 1
Zr4 0.780 0.780 0.614 1
```

E_tot: -6.82 eV/atom
DOS(E_F): 1.058 states/eV per atom
formation enthalpy at 0 K: -3.8 eV/f.u.
ΔE to the lowest computed polymorph: 0 meV/atom



Entry 5:
Zr2Ni: optimized geometry, PBE.

The structure in CIF format:
```
data_Zr2Ni
_chemical_formula_sum 'Zr8 Ni4'
_space_group_name_H-M_alt 'P 1'
_space_group_IT_number 1
_space_group_name_Hall 'P 1'
_cell_length_a 6.272
_cell_length_b 6.272
_cell_length_c 6.272
_cell_angle_alpha 90.00
_cell_angle_beta 90.00
_cell_angle_gamma 90.00
loop_
_atom_site_label
_atom_site_fract_x
_atom_site_fract_y
_atom_site_fract_z
_atom_site_occupancy
Zr1 0.659 0.841 0.159 1
Zr2 0.841 0.341 0.159 1
Zr3 0.159 0.659 0.841 1
Zr4 0.341 0.341 0.341 1
Zr5 0.159 0.841 0.341 1
Zr6 0.341 0.159 0.841 1
Zr7 0.841 0.159 0.659 1
Zr8 0.659 0.659 0.659 1
Ni1 0.000 0.000 0.000 1
Ni2 0.500 0.000 0.500 1
Ni3 0.000 0.500 0.500 1
Ni4 0.500 0.500 0.000 1
```

E_tot: -7.66 eV/atom
DOS(E_F): 1.021 states/eV per atom
formation enthalpy at 0 K: -0.1 eV/f.u.



Entry 6:
Zr6Ni23: optimized geometry, PBE.

The structure in CIF format:
```
data_Zr6Ni23
_chemical_formula_sum 'Zr6 Ni23'
_space_group_name_H-M_alt 'P 1'
_space_group_IT_number 1
_space_group_name_Hall 'P 1'
_cell_length_a 8.125
_cell_length_b 8.125
_cell_length_c 8.125
_cell_angle_alpha 60.00
_cell_angle_beta 60.00
_cell_angle_gamma 60.00
loop_
_atom_site_label
_atom_site_fract_x
_atom_site_fract_y
_atom_site_fract_z
_atom_site_occupancy
Zr1 0.713 0.287 0.713 1
Zr2 0.287 0.713 0.713 1
Zr3 0.287 0.287 0.713 1
Zr4 0.713 0.287 0.287 1
Zr5 0.713 0.713 0.287 1
Zr6 0.287 0.713 0.287 1
Ni1 0.000 0.000 0.500 1
Ni2 0.880 0.361 0.880 1
Ni3 0.500 0.000 0.500 1
Ni4 0.329 0.329 0.014 1
Ni5 0.671 0.671 0.986 1
Ni6 0.986 0.671 0.671 1
Ni7 0.000 0.500 0.000 1
Ni8 0.120 0.639 0.120 1
Ni9 0.500 0.000 0.000 1
Ni10 0.500 0.500 0.000 1
Ni11 0.000 0.000 0.000 1
Ni12 0.014 0.329 0.329 1
Ni13 0.639 0.120 0.120 1
Ni14 0.880 0.880 0.361 1
Ni15 0.671 0.671 0.671 1
Ni16 0.000 0.500 0.500 1
Ni17 0.880 0.880 0.880 1
Ni18 0.329 0.014 0.329 1
Ni19 0.120 0.120 0.639 1
Ni20 0.329 0.329 0.329 1
Ni21 0.361 0.880 0.880 1
Ni22 0.671 0.986 0.671 1
Ni23 0.120 0.120 0.120 1
```

E_tot: -6.71 eV/atom
DOS(E_F): 1.304 states/eV per atom
formation enthalpy at 0 K: -10.4 eV/f.u.



Entry 7:
ZrNi2: optimized geometry, PBE.

The structure in CIF format:
```
data_ZrNi2
_chemical_formula_sum 'Zr2 Ni4'
_space_group_name_H-M_alt 'P 1'
_space_group_IT_number 1
_space_group_name_Hall 'P 1'
_cell_length_a 5.132
_cell_length_b 5.132
_cell_length_c 5.132
_cell_angle_alpha 121.61
_cell_angle_beta 121.61
_cell_angle_gamma 87.23
loop_
_atom_site_label
_atom_site_fract_x
_atom_site_fract_y
_atom_site_fract_z
_atom_site_occupancy
Ni1 0.839 0.661 0.500 1
Ni2 0.339 0.839 0.179 1
Ni3 0.661 0.161 0.821 1
Ni4 0.161 0.339 0.500 1
Zr1 0.750 0.750 0.000 1
Zr2 0.250 0.250 0.000 1
```

E_tot: -6.87 eV/atom
DOS(E_F): 0.589 states/eV per atom
formation enthalpy at 0 K: -0.5 eV/f.u.



Entry 8:
Zr4Ni: optimized geometry, PBE.

The structure in CIF format:
```
data_Zr4Ni
_chemical_formula_sum 'Zr4 Ni1'
_space_group_name_H-M_alt 'P 1'
_space_group_IT_number 1
_space_group_name_Hall 'P 1'
_cell_length_a 4.883
_cell_length_b 4.883
_cell_length_c 4.883
_cell_angle_alpha 90.00
_cell_angle_beta 90.00
_cell_angle_gamma 90.00
loop_
_atom_site_label
_atom_site_fract_x
_atom_site_fract_y
_atom_site_fract_z
_atom_site_occupancy
Zr1 0.500 0.000 0.500 1
Zr2 0.000 0.500 0.500 1
Zr3 0.500 0.500 0.000 1
Zr4 0.000 0.000 0.000 1
Ni1 0.500 0.500 0.500 1
```

E_tot: -7.75 eV/atom
DOS(E_F): 1.198 states/eV per atom
formation enthalpy at 0 K: 1.2 eV/f.u.
ΔE to the lowest computed polymorph: 392 meV/atom



Entry 9:
Zr2Ni: optimized geometry, PBE.

The structure in CIF format:
```
data_Zr2Ni
_chemical_formula_sum 'Zr2 Ni1'
_space_group_name_H-M_alt 'P 1'
_space_group_IT_number 1
_space_group_name_Hall 'P 1'
_cell_length_a 4.441
_cell_length_b 4.441
_cell_length_c 4.441
_cell_angle_alpha 60.00
_cell_angle_beta 60.00
_cell_angle_gamma 60.00
loop_
_atom_site_label
_atom_site_fract_x
_atom_site_fract_y
_atom_site_fract_z
_atom_site_occupancy
Ni1 0.000 0.000 0.000 1
Zr1 0.750 0.750 0.750 1
Zr2 0.250 0.250 0.250 1
```

E_tot: -7.62 eV/atom
DOS(E_F): 1.766 states/eV per atom
formation enthalpy at 0 K: 0.0 eV/f.u.



Entry 10:
Zr4Ni5: optimized geometry, PBE.

The structure in CIF format:
```
data_Zr4Ni5
_chemical_formula_sum 'Zr8 Ni10'
_space_group_name_H-M_alt 'P 1'
_space_group_IT_number 1
_space_group_name_Hall 'P 1'
_cell_length_a 7.849
_cell_length_b 7.849
_cell_length_c 5.435
_cell_angle_alpha 90.00
_cell_angle_beta 90.00
_cell_angle_gamma 60.00
loop_
_atom_site_label
_atom_site_fract_x
_atom_site_fract_y
_atom_site_fract_z
_atom_site_occupancy
Zr1 0.633 0.367 0.250 1
Zr2 0.000 0.000 0.500 1
Zr3 0.000 0.000 0.000 1
Zr4 0.367 0.633 0.750 1
Zr5 0.367 0.000 0.250 1
Zr6 0.000 0.633 0.250 1
Zr7 0.633 0.000 0.750 1
Zr8 0.000 0.367 0.750 1
Ni1 0.311 0.000 0.750 1
Ni2 0.689 0.000 0.250 1
Ni3 0.667 0.667 0.500 1
Ni4 0.333 0.333 0.500 1
Ni5 0.000 0.311 0.250 1
Ni6 0.311 0.689 0.250 1
Ni7 0.333 0.333 0.000 1
Ni8 0.689 0.311 0.750 1
Ni9 0.667 0.667 0.000 1
Ni10 0.000 0.689 0.750 1
```

E_tot: -7.27 eV/atom
DOS(E_F): 0.812 states/eV per atom
formation enthalpy at 0 K: -2.4 eV/f.u.
ΔE to the lowest computed polymorph: 0 meV/atom



| no. | total moment (μB per formula unit) |
| --- | --- |
| 1 | 0.798 |
| 2 | 0.000 |
| 3 | 0.000 |
| 4 | 0.000 |
| 5 | 0.000 |
| 6 | 0.012 |
| 7 | 0.000 |
| 8 | 0.000 |
| 9 | 0.390 |
| 10 | 0.000 |